Material: MnNi2
Method: DFT, GGA-PBEsol
State: relaxed

The structure in POSCAR format:
```
MnNi2
1.0
-0.654 0.851 -3.334
3.175 -1.159 -0.918
-5.328 -9.641 0.424
Ni Mn
8 4
direct
0.417 0.417 0.835
0.250 0.250 0.500
0.833 0.333 0.665
0.583 0.583 0.165
0.000 0.500 0.000
0.750 0.750 0.500
0.667 0.167 0.335
0.500 0.000 0.000
0.170 0.670 0.340
0.920 0.920 0.840
0.080 0.080 0.160
0.330 0.830 0.660
```

Formation energy from the elements (meV/atom): -18
Density of states at the Fermi level (states/eV per atom): 1.009
Space-group type: I4_1/amd (141)

Material: MnNi3
Method: DFT, GGA-PBEsol
State: relaxed

The structure in POSCAR format:
```
MnNi3
1.0
-0.228 2.409 0.388
-2.295 0.202 -2.599
-3.673 -0.858 3.176
Ni Mn
3 1
direct
0.500 0.500 0.749
0.000 0.000 0.500
0.500 0.500 0.251
0.000 0.000 0.000
```

Formation energy from the elements (meV/atom): 20
Density of states at the Fermi level (states/eV per atom): 1.847
Space-group type: Pmmm (47)

Material: MnNi3
Method: DFT, GGA-PBEsol
State: relaxed

The structure in POSCAR format:
```
MnNi3
1.0
-1.621 0.047 3.102
0.553 -3.440 0.341
3.053 0.648 1.586
Ni Mn
3 1
direct
0.500 0.500 0.000
0.000 0.500 0.500
0.500 0.000 0.500
0.000 0.000 0.000
```

Formation energy from the elements (meV/atom): -67
Density of states at the Fermi level (states/eV per atom): 1.249
Space-group type: Pm-3m (221)

Material: MnNi3
Method: DFT, GGA-PBEsol
State: relaxed

The structure in POSCAR format:
```
MnNi3
1.0
2.526 0.000 0.000
0.000 4.023 0.000
0.000 0.000 4.246
Ni Mn
3 1
direct
0.500 0.000 0.493
0.500 0.500 0.834
0.000 0.500 0.343
0.000 0.000 0.996
```

Formation energy from the elements (meV/atom): 28
Density of states at the Fermi level (states/eV per atom): 1.315
Space-group type: Pmm2 (25)

Material: MnNi
Method: DFT, GGA-PBEsol
State: relaxed

The structure in POSCAR format:
```
MnNi
1.0
-1.099 -0.387 -3.290
-3.093 -1.122 1.165
0.951 3.921 1.072
Mn Ni
2 2
direct
0.000 0.000 0.000
0.250 0.750 0.500
0.500 0.500 0.000
0.750 0.250 0.500
```

Formation energy from the elements (meV/atom): 71
Density of states at the Fermi level (states/eV per atom): 1.639
Space-group type: I4_1/amd (141)

Material: Mn3NiO4
Method: DFT, GGA-PBEsol
State: relaxed

The structure in POSCAR format:
```
Mn3NiO4
1.0
-0.552 -2.870 -0.041
2.767 -0.602 4.896
-5.554 1.068 0.078
O Mn Ni
4 3 1
direct
0.500 0.233 0.233
0.000 0.288 0.712
0.500 0.767 0.767
0.000 0.712 0.288
0.500 0.000 0.500
0.000 0.500 0.500
0.500 0.500 0.000
0.000 0.000 0.000
```

Raw formation energy (eV/atom): -1.019
Density of states at the Fermi level (states/eV per atom): 0.334
Space-group type: Cmmm (65)

Material: Mn5NiO12
Method: DFT, GGA-PBEsol
State: relaxed

The structure in POSCAR format:
```
Mn5NiO12
1.0
-2.322 -1.135 4.171
-1.846 -4.508 0.632
8.278 -2.854 3.839
O Mn Ni
12 5 1
direct
0.167 0.000 0.600
0.833 0.000 0.400
0.670 0.000 0.901
0.330 0.670 0.901
0.167 0.333 0.400
0.000 0.670 0.099
0.833 0.667 0.600
0.500 0.667 0.400
0.670 0.330 0.099
0.330 0.000 0.099
0.500 0.333 0.600
0.000 0.330 0.901
0.667 0.667 0.000
0.333 0.333 0.000
0.833 0.333 0.500
0.500 0.000 0.500
0.167 0.667 0.500
0.000 0.000 0.000
```

Raw formation energy (eV/atom): -1.432
Space-group type: C2/m (12)

Material: Mn4NiO8
Method: DFT, GGA-PBEsol
State: relaxed

The structure in POSCAR format:
```
Mn4NiO8
1.0
5.671 0.000 0.000
-2.836 4.956 -0.013
0.000 -3.138 4.763
O Mn Ni
8 4 1
direct
0.271 0.038 0.772
0.244 0.487 0.219
0.731 0.461 0.197
0.269 0.539 0.803
0.233 0.962 0.228
0.756 0.513 0.781
0.767 0.038 0.772
0.729 0.962 0.228
0.000 0.000 0.000
0.000 0.500 0.000
0.500 0.500 0.000
0.500 0.000 0.500
0.500 0.000 0.000
```

Raw formation energy (eV/atom): -1.382
Density of states at the Fermi level (states/eV per atom): 0.406
Space-group type: C2/m (12)

Material: Mn15NiO32
Method: DFT, GGA-PBEsol
State: relaxed

The structure in POSCAR format:
```
Mn15NiO32
1.0
-4.343 3.766 -5.573
-5.244 -6.050 0.019
-4.184 3.665 5.759
O Mn Ni
32 15 1
direct
0.486 0.764 0.486
0.013 0.013 0.234
0.486 0.263 0.986
0.234 0.013 0.013
0.486 0.986 0.263
0.737 0.014 0.514
0.263 0.486 0.986
0.736 0.736 0.237
0.736 0.237 0.736
0.986 0.486 0.263
0.737 0.514 0.014
0.486 0.486 0.764
0.514 0.014 0.737
0.987 0.766 0.987
0.014 0.514 0.737
0.514 0.236 0.514
0.236 0.514 0.514
0.263 0.986 0.486
0.987 0.987 0.766
0.514 0.737 0.014
0.764 0.486 0.486
0.766 0.987 0.987
0.237 0.736 0.736
0.763 0.264 0.264
0.264 0.763 0.264
0.236 0.236 0.236
0.986 0.263 0.486
0.014 0.737 0.514
0.013 0.234 0.013
0.264 0.264 0.763
0.764 0.764 0.764
0.514 0.514 0.236
0.249 0.999 0.249
0.001 0.751 0.751
0.751 0.751 0.001
0.999 0.249 0.249
0.250 0.500 0.750
0.500 0.250 0.750
0.500 0.500 0.000
0.500 0.000 0.500
0.750 0.250 0.500
0.000 0.500 0.500
0.249 0.249 0.999
0.250 0.750 0.500
0.750 0.500 0.250
0.751 0.001 0.751
0.500 0.750 0.250
0.000 0.000 0.000
```

Raw formation energy (eV/atom): -1.518
Density of states at the Fermi level (states/eV per atom): 0.053
Space-group type: R-3m (166)

Material: MnNiP2O8
Method: DFT, GGA-PBEsol
State: relaxed

The structure in POSCAR format:
```
MnNiP2O8
1.0
-8.047 1.828 -0.081
-4.571 -1.896 6.604
-2.734 6.111 4.825
O Ni Mn P
24 3 3 6
direct
0.937 0.747 0.087
0.182 0.989 0.383
0.682 0.885 0.489
0.412 0.752 0.556
0.747 0.087 0.937
0.448 0.591 0.248
0.989 0.383 0.182
0.623 0.819 0.999
0.256 0.914 0.057
0.248 0.448 0.591
0.383 0.182 0.989
0.087 0.937 0.747
0.513 0.314 0.116
0.591 0.248 0.448
0.914 0.057 0.256
0.116 0.513 0.314
0.556 0.412 0.752
0.314 0.116 0.513
0.057 0.256 0.914
0.819 0.999 0.623
0.489 0.682 0.885
0.752 0.556 0.412
0.999 0.623 0.819
0.885 0.489 0.682
0.360 0.360 0.360
0.641 0.641 0.641
0.141 0.141 0.141
0.501 0.501 0.501
0.001 0.001 0.001
0.859 0.859 0.859
0.538 0.250 0.961
0.461 0.750 0.040
0.750 0.040 0.461
0.250 0.961 0.538
0.961 0.538 0.250
0.040 0.461 0.750
```

Raw formation energy (eV/atom): -1.685
Density of states at the Fermi level (states/eV per atom): 0.327
Space-group type: R3 (146)

Material: MnNiP2O8
Method: DFT, GGA-PBEsol
State: relaxed

The structure in POSCAR format:
```
MnNiP2O8
1.0
-2.792 -0.728 3.649
-1.790 -4.765 -2.320
7.055 -4.834 4.485
P O Mn Ni
4 16 2 2
direct
0.891 0.250 0.908
0.592 0.250 0.413
0.408 0.750 0.587
0.109 0.750 0.092
0.730 0.041 0.828
0.255 0.966 0.665
0.745 0.466 0.335
0.216 0.250 0.879
0.270 0.250 0.400
0.784 0.750 0.121
0.833 0.250 0.061
0.680 0.250 0.566
0.730 0.750 0.600
0.167 0.750 0.939
0.320 0.750 0.434
0.745 0.034 0.335
0.255 0.534 0.665
0.270 0.959 0.172
0.270 0.541 0.172
0.730 0.459 0.828
0.542 0.750 0.273
0.458 0.250 0.727
0.950 0.750 0.767
0.050 0.250 0.233
```

Raw formation energy (eV/atom): -1.750
Density of states at the Fermi level (states/eV per atom): 0.008
Space-group type: P2_1/m (11)

Material: MnNi3P4O16
Method: DFT, GGA-PBEsol
State: relaxed

The structure in POSCAR format:
```
MnNi3P4O16
1.0
-3.122 -1.893 -2.844
3.443 -4.267 -0.939
-3.845 -4.722 7.363
O P Ni Mn
16 4 3 1
direct
0.327 0.000 0.936
0.234 0.785 0.168
0.773 0.711 0.833
0.252 0.216 0.667
0.252 0.784 0.667
0.234 0.215 0.168
0.223 0.500 0.395
0.828 0.500 0.567
0.723 0.000 0.109
0.183 0.000 0.432
0.773 0.289 0.833
0.736 0.285 0.335
0.773 0.000 0.604
0.286 0.500 0.885
0.674 0.500 0.068
0.736 0.715 0.335
0.611 0.500 0.913
0.395 0.000 0.092
0.896 0.500 0.409
0.098 0.000 0.586
0.554 0.000 0.770
0.445 0.500 0.231
0.949 0.000 0.271
0.048 0.500 0.729
```

Raw formation energy (eV/atom): -1.625
Density of states at the Fermi level (states/eV per atom): 0.130
Space-group type: Pm (6)